# 1
Entry from Alexandria via LeMat-Bulk: crystalline CaSc2Co at its relaxed geometry (GGA-PBE).

```
data_CaSc2Co
_space_group_name_H-M_alt 'R -3 m'
_space_group_IT_number 166
_space_group_name_Hall '-R 3 2"'
_cell_length_a 3.2401
_cell_length_b 3.2401
_cell_length_c 31.4228
_cell_angle_alpha 90.00
_cell_angle_beta 90.00
_cell_angle_gamma 120.00
loop_
_atom_site_label
_atom_site_fract_x
_atom_site_fract_y
_atom_site_fract_z
Ca1 0.0000 0.0000 0.0000
Sc1 0.0000 0.0000 0.4281
Co1 0.0000 0.0000 0.5000
```

Values from the calculation:
Mass density = 3.29 g cm⁻³
Calculated formation energy = 2.24 eV/f.u.
Energy = -4.88 eV/atom

=====

# 2
Entry from Alexandria via LeMat-Bulk: crystalline Pm4ZnAg3 at its relaxed geometry (GGA-PBE).

```
data_Pm4ZnAg3
_space_group_name_H-M_alt 'P m m 2'
_space_group_IT_number 25
_cell_length_a 3.778
_cell_length_b 4.806
_cell_length_c 11.537
_cell_angle_alpha 90.00
_cell_angle_beta 90.00
_cell_angle_gamma 90.00
loop_
_space_group_symop_operation_xyz
'x,y,z'
'-x,-y,z'
'-x,y,z'
'x,-y,z'
loop_
_atom_site_label
_atom_site_fract_x
_atom_site_fract_y
_atom_site_fract_z
Pm1 0.000 0.000 0.000
Pm2 0.000 0.500 0.292
Pm3 0.500 0.000 0.496
Pm4 0.500 0.500 0.792
Zn1 0.500 0.000 0.220
Ag1 0.000 0.000 0.721
Ag2 0.000 0.500 0.570
Ag3 0.500 0.500 0.072
```

Values from the calculation:
Mass density = 7.68 g cm⁻³
Calculated formation energy = -1.99 eV/f.u.
Energy = -3.85 eV/atom

=====

# 3
Entry from Alexandria via LeMat-Bulk: crystalline BeTlV2Ag at its relaxed geometry (GGA-PBE).

```
data_BeTlV2Ag
_space_group_name_H-M_alt 'P 4/m m m'
_space_group_IT_number 123
_space_group_name_Hall '-P 4 2'
_cell_length_a 4.268
_cell_length_b 4.268
_cell_length_c 4.503
_cell_angle_alpha 90.00
_cell_angle_beta 90.00
_cell_angle_gamma 90.00
loop_
_atom_site_label
_atom_site_fract_x
_atom_site_fract_y
_atom_site_fract_z
Be1 0.000 0.000 0.000
Tl1 0.000 0.000 0.500
V1 0.000 0.500 0.000
Ag1 0.500 0.500 0.500
```

Values from the calculation:
Mass density = 8.57 g cm⁻³
Calculated formation energy = 4.13 eV/f.u.
Energy = -4.61 eV/atom

=====

# 4
Entry from Alexandria via LeMat-Bulk: crystalline LaAg6Sn6 at its relaxed geometry (GGA-PBE).

```
data_LaAg6Sn6
_space_group_name_H-M_alt 'I m m m'
_space_group_IT_number 71
_space_group_name_Hall '-I 2 2'
_cell_length_a 5.980
_cell_length_b 9.677
_cell_length_c 10.276
_cell_angle_alpha 90.00
_cell_angle_beta 90.00
_cell_angle_gamma 90.00
loop_
_atom_site_label
_atom_site_fract_x
_atom_site_fract_y
_atom_site_fract_z
La1 0.000 0.000 0.000
Ag1 0.000 0.253 0.500
Ag2 0.250 0.250 0.250
Sn1 0.000 0.000 0.336
Sn2 0.000 0.347 0.000
Sn3 0.000 0.500 0.334
```

Values from the calculation:
Mass density = 8.37 g cm⁻³
Calculated formation energy = -1.98 eV/f.u.
Energy = -3.70 eV/atom

=====

# 5
Entry from Alexandria via LeMat-Bulk: crystalline La2PbF at its relaxed geometry (GGA-PBE).

```
data_La2PbF
_space_group_name_H-M_alt 'I -4 2 d'
_space_group_IT_number 122
_space_group_name_Hall 'I -4 2bw'
_cell_length_a 7.715
_cell_length_b 7.715
_cell_length_c 7.697
_cell_angle_alpha 90.00
_cell_angle_beta 90.00
_cell_angle_gamma 90.00
loop_
_atom_site_label
_atom_site_fract_x
_atom_site_fract_y
_atom_site_fract_z
La1 0.175 0.750 0.125
Pb1 0.000 0.000 0.500
F1 0.000 0.000 0.000
```

Values from the calculation:
Mass density = 7.31 g cm⁻³
Formation energy from raw total energies = -6.098 eV per formula unit
Energy = -5.38 eV/atom

=====

# 6
Entry from Alexandria via LeMat-Bulk: crystalline CsZnHg6 at its relaxed geometry (GGA-PBE).

```
data_CsZnHg6
_space_group_name_H-M_alt 'R -3 m'
_space_group_IT_number 166
_space_group_name_Hall '-R 3 2"'
_cell_length_a 7.6007
_cell_length_b 7.6007
_cell_length_c 15.1015
_cell_angle_alpha 90.00
_cell_angle_beta 90.00
_cell_angle_gamma 120.00
loop_
_atom_site_label
_atom_site_fract_x
_atom_site_fract_y
_atom_site_fract_z
Cs1 0.0000 0.0000 0.0000
Zn1 0.0000 0.0000 0.5000
Hg1 0.0616 0.5308 0.9041
```

Values from the calculation:
Mass density = 9.24 g cm⁻³
Calculated formation energy = -0.78 eV/f.u.
Energy = -0.59 eV/atom

=====

# 7
Entry from Alexandria via LeMat-Bulk: crystalline NdMg3Pb3 at its relaxed geometry (GGA-PBE).

```
data_NdMg3Pb3
_space_group_name_H-M_alt 'P m -3 n'
_space_group_IT_number 223
_space_group_name_Hall '-P 4n 2 3'
_cell_length_a 7.834
_cell_length_b 7.834
_cell_length_c 7.834
_cell_angle_alpha 90.00
_cell_angle_beta 90.00
_cell_angle_gamma 90.00
loop_
_atom_site_label
_atom_site_fract_x
_atom_site_fract_y
_atom_site_fract_z
Nd1 0.000 0.000 0.000
Mg1 0.000 0.250 0.500
Pb1 0.000 0.500 0.250
```

Values from the calculation:
Mass density = 5.79 g cm⁻³
Calculated formation energy = 2.60 eV/f.u.
Energy = -2.58 eV/atom

=====

# 8
Entry from Alexandria via LeMat-Bulk: crystalline RbBaAg at its relaxed geometry (GGA-PBE).

```
data_RbBaAg
_space_group_name_H-M_alt 'P 3 m 1'
_space_group_IT_number 156
_cell_length_a 4.7996
_cell_length_b 4.7996
_cell_length_c 8.3520
_cell_angle_alpha 90.00
_cell_angle_beta 90.00
_cell_angle_gamma 120.00
loop_
_space_group_symop_operation_xyz
'x,y,z'
'-y,x-y,z'
'-x+y,-x,z'
'-y,-x,z'
'-x+y,y,z'
'x,x-y,z'
loop_
_atom_site_label
_atom_site_fract_x
_atom_site_fract_y
_atom_site_fract_z
Rb1 0.0000 0.0000 0.0000
Ba1 0.6667 0.3333 0.4987
Ag1 0.3333 0.6667 0.2746
```

Values from the calculation:
Mass density = 3.30 g cm⁻³
Calculated formation energy = 0.01 eV/f.u.
Energy = -1.91 eV/atom